Compound: TbPrHoTh2
Source: Alexandria via LeMat-Bulk
Functional: PBE
Structure: optimized geometry

Calculated values
DOS at the Fermi energy: 7.6 states/eV/f.u.
Magnetic moment: 0.00 μB per formula unit
DFT total energy: -5.355 eV per atom
ΔE_f: 0.411 eV/atom

extended XYZ file:
```
10
Lattice="3.344 -7.900 0.000 3.344 7.900 0.000 0.000 0.000 6.696" Properties=species:S:1:pos:R:3 pbc="T T T"
Tb 3.344 4.431 5.022
Tb 3.344 -4.431 1.674
Pr 3.344 2.401 1.674
Pr 3.344 -2.401 5.022
Ho 3.344 5.502 1.674
Ho 3.344 -5.502 5.022
Th 1.631 0.000 0.000
Th 1.631 0.000 3.348
Th 5.057 0.000 0.000
Th 5.057 0.000 3.348
```